The following is a DFT calculation (PBE-GGA) of crystalline RbCaCeCl6 at its relaxed geometry.

Properties
ΔE_f (raw): -2247 meV/atom
symmetry: P-31c (163)

Unit cell a=7.2948 b=7.2948 c=14.2041 alpha=90.00 beta=90.00 gamma=120.00
Last column: nearest neighbours and their distance in Å.
Fractional coordinates of all 18 atoms:
Rb: 0.0000 0.0000 0.0000  6 Cl 3.38
Rb: 0.0000 0.0000 0.5000  6 Cl 3.38
Ca: 0.3333 0.6667 0.2500  6 Cl 2.76
Ca: 0.6667 0.3333 0.7500  6 Cl 2.76
Ce: 0.6667 0.3333 0.2500  6 Cl 2.78
Ce: 0.3333 0.6667 0.7500  6 Cl 2.78
Cl: 0.6260 0.6277 0.1415  1 Ca 2.76, 1 Ce 2.78
Cl: 0.0016 0.3740 0.1415  1 Ca 2.76, 1 Ce 2.78
Cl: 0.3740 0.0016 0.6415  1 Ca 2.76, 1 Ce 2.78
Cl: 0.9984 0.6260 0.8585  1 Ca 2.76, 1 Ce 2.78
Cl: 0.3723 0.3740 0.3585  1 Ca 2.76, 1 Ce 2.78
Cl: 0.0016 0.6277 0.3585  1 Ca 2.76, 1 Ce 2.78
Cl: 0.6277 0.0016 0.8585  1 Ca 2.76, 1 Ce 2.78
Cl: 0.6260 0.9984 0.3585  1 Ca 2.76, 1 Ce 2.78
Cl: 0.9984 0.3723 0.6415  1 Ca 2.76, 1 Ce 2.78
Cl: 0.3723 0.9984 0.1415  1 Ca 2.76, 1 Ce 2.78
Cl: 0.6277 0.6260 0.6415  1 Ca 2.76, 1 Ce 2.78
Cl: 0.3740 0.3723 0.8585  1 Ca 2.76, 1 Ce 2.78



The following is a DFT calculation (PBE-GGA) of crystalline RbCaCe2Cl8 at its relaxed geometry.

Properties
ΔE_f (raw): -2139 meV/atom
symmetry: P-1 (2)

Unit cell a=6.9253 b=6.7407 c=8.7420 alpha=90.02 beta=90.16 gamma=88.29
Last column: nearest neighbours and their distance in Å.
Fractional coordinates of all 12 atoms:
Rb: 0.0000 0.0000 0.5000  6 Cl 3.18-3.24
Ca: 0.0000 0.0000 0.0000  6 Cl 2.73-2.87
Ce: 0.4997 0.5001 0.7658  6 Cl 2.81-2.90
Ce: 0.5003 0.4999 0.2342  6 Cl 2.81-2.90
Cl: 0.1803 0.7667 0.2155  1 Ca 2.73, 1 Ce 2.82
Cl: 0.6836 0.7337 0.0004  1 Ca 2.87, 2 Ce 2.90
Cl: 0.8209 0.2345 0.2150  1 Ca 2.73, 1 Ce 2.81
Cl: 0.8197 0.2333 0.7845  1 Ca 2.73, 1 Ce 2.82
Cl: 0.3164 0.2663 0.9996  1 Ca 2.87, 2 Ce 2.90
Cl: 0.1791 0.7655 0.7850  1 Ca 2.73, 1 Ce 2.81
Cl: 0.6398 0.7044 0.5003  2 Ce 2.88
Cl: 0.3602 0.2956 0.4997  2 Ce 2.88



The following is a DFT calculation (PBE-GGA) of crystalline CaCeCo4 at its relaxed geometry.

Properties
ΔE_f: -42.6 meV/atom
symmetry: F-43m (216)

Unit cell a=5.0428 b=5.0428 c=5.0428 alpha=60.00 beta=60.00 gamma=60.00
Last column: nearest neighbours and their distance in Å.
Fractional coordinates of all 6 atoms:
Ca: 0.2500 0.2500 0.2500  12 Co 2.96, 4 Ce 3.09
Co: 0.6253 0.6253 0.1242  6 Co 2.52-2.53
Co: 0.6253 0.1242 0.6253  6 Co 2.52-2.53
Co: 0.6253 0.6253 0.6253  6 Co 2.52-2.53
Co: 0.1242 0.6253 0.6253  6 Co 2.52-2.53
Ce: 0.0000 0.0000 0.0000  12 Co 2.96, 4 Ca 3.09



The following is a DFT calculation (PBE-GGA) of crystalline CaCeCo at its relaxed geometry.

Properties
ΔE_f: -112.2 meV/atom
symmetry: C2/m (12)
excess energy over the best structure of this formula in the dataset: 0.000 eV per atom

Unit cell a=5.1592 b=3.6953 c=11.4902 alpha=94.42 beta=90.00 gamma=134.27
Last column: nearest neighbours and their distance in Å.
Fractional coordinates of all 6 atoms:
Co: 0.1106 0.2213 0.1051  3 Ce 2.46-2.60, 1 Co 2.57
Co: 0.8894 0.7787 0.8949  3 Ce 2.46-2.60, 1 Co 2.57
Ca: 0.2185 0.4369 0.3713  1 Co 3.05
Ca: 0.7815 0.5631 0.6287  1 Co 3.05
Ce: 0.3461 0.6921 0.8705  3 Co 2.46-2.60
Ce: 0.6539 0.3079 0.1295  3 Co 2.46-2.60



The following is a DFT calculation (PBE-GGA) of crystalline CaCeCo at its relaxed geometry.

Properties
ΔE_f: 27.7 meV/atom
symmetry: I4mm (107)
excess energy over the best structure of this formula in the dataset: 0.140 eV per atom

Unit cell a=3.3729 b=3.3729 c=6.9674 alpha=104.01 beta=104.01 gamma=90.00
Last column: nearest neighbours and their distance in Å.
Fractional coordinates of all 3 atoms:
Ca: 0.0325 0.0325 0.0650  4 Co 3.10, 1 Ce 3.29, 4 Ca 3.37
Co: 0.6841 0.6841 0.3681  4 Ce 2.72
Ce: 0.2834 0.2834 0.5669  4 Co 2.72



The following is a DFT calculation (PBE-GGA) of crystalline CaCe2CoN4 at its relaxed geometry.

Properties
ΔE_f (raw): -938 meV/atom
symmetry: Cmcm (63)

Unit cell a=3.5075 b=6.0766 c=11.7898 alpha=90.00 beta=90.00 gamma=106.77
Last column: nearest neighbours and their distance in Å.
Fractional coordinates of all 16 atoms:
Ca: 0.1200 0.2400 0.7500  6 N 2.72-2.99
Ca: 0.8800 0.7600 0.2500  6 N 2.72-2.99
Ce: 0.3682 0.7365 0.5510  6 N 2.38-2.44
Ce: 0.6318 0.2635 0.0510  6 N 2.38-2.44
Ce: 0.6318 0.2635 0.4490  6 N 2.38-2.44
Ce: 0.3682 0.7365 0.9490  6 N 2.38-2.44
Co: 0.8413 0.6826 0.7500  4 N 1.93-1.94
Co: 0.1587 0.3174 0.2500  4 N 1.93-1.94
N: 0.2593 0.5186 0.1195  1 Co 1.93
N: 0.7407 0.4814 0.6195  1 Co 1.93
N: 0.7407 0.4814 0.8805  1 Co 1.93
N: 0.2593 0.5186 0.3805  1 Co 1.93
N: 0.0000 0.0000 0.5000  4 Ce 2.41
N: 0.0000 0.0000 0.0000  4 Ce 2.41
N: 0.4119 0.8239 0.7500  2 Co 1.94
N: 0.5881 0.1761 0.2500  2 Co 1.94